Entry 1:
First-principles (PBE) data for an optimized crystal structure of Tl3O, as listed in Alexandria.

Lattice parameters (Å, degrees): 5.2048 5.2048 5.2106 89.80 89.80 90.06
With the nearest neighbours (Å) after each atom.
Atoms (fractional coordinates):
Tl (0.0000, 0.5000, 0.9999)  2 O 2.60
Tl (0.0000, 0.0000, 0.5000)  2 O 2.61
Tl (0.5000, 0.0000, 0.0001)  2 O 2.60
O (0.0000, 0.0000, 0.0000)  6 Tl 2.60-2.61

Computed properties:
DOS at the Fermi energy, states/eV per cell: 3.42
Raw total energy, eV/atom: -3.06
Total magnetization, μB per formula unit: 0.017
E above lowest polymorph, eV/atom: 0.263

***

Entry 2:
First-principles (PBE) data for an optimized crystal structure of Sc2CdRh, as listed in Alexandria.

Lattice parameters (Å, degrees): 5.3195 5.3195 5.3195 134.13 134.13 66.89
With the nearest neighbours (Å) after each atom.
Atoms (fractional coordinates):
Cd (0.5000, 0.5000, 0.0000)  8 Sc 2.93-3.04, 4 Rh 3.04
Rh (0.7500, 0.2500, 0.5000)  8 Sc 2.93-3.04, 4 Cd 3.04
Sc (0.0000, 0.0000, 0.0000)  4 Cd 2.93, 4 Rh 3.04, 4 Sc 3.04
Sc (0.2500, 0.7500, 0.5000)  4 Rh 2.93, 4 Sc 3.04, 4 Cd 3.04

Computed properties:
DOS at the Fermi energy, states/eV per cell: 3.03
Raw total energy, eV/atom: -5.65
Calculated formation energy, eV per formula unit: -1.69
Total magnetization, μB per formula unit: 0.000

***

Look up the total magnetization of the first one. 0.017 μB per formula unit

***

What is the DOS at the Fermi energy in the second record? 3.03 states/eV per cell

***

Which value of DOS at the Fermi energy does entry 2 give? 3.03 states/eV per cell